Record 1
Na2NdErTe4 | PBE | relaxed Values from VASP.

The structure in Quantum ESPRESSO input format:
```
&SYSTEM
  ibrav = 0, nat = 8, ntyp = 4
/
ATOMIC_SPECIES
Na 22.99 Na.upf
Nd 144.24 Nd.upf
Er 167.26 Er.upf
Te 127.60 Te.upf
CELL_PARAMETERS angstrom
-3.203 -1.208 -2.882
3.029 -7.126 -0.379
-5.396 0.204 5.910
ATOMIC_POSITIONS crystal
Na 0.500 0.000 0.500
Na 0.000 0.500 0.500
Nd 0.000 0.000 0.000
Er 0.500 0.500 0.000
Te 0.500 0.254 0.237
Te 0.500 0.746 0.763
Te 0.000 0.264 0.768
Te 0.000 0.736 0.232
```

ΔE_f (raw): -1312 meV per atom
Crystal system: monoclinic
Density: 5.5 g/cm³

***

Record 2
Sm2CoI | PBE | relaxed Values from VASP.

The structure in Quantum ESPRESSO input format:
```
&SYSTEM
  ibrav = 0, nat = 4, ntyp = 3
/
ATOMIC_SPECIES
Sm 150.36 Sm.upf
Co 58.93 Co.upf
I 126.90 I.upf
CELL_PARAMETERS angstrom
-3.026 -2.629 0.295
0.747 -3.947 -0.140
0.119 -2.308 8.038
ATOMIC_POSITIONS crystal
Sm 0.060 0.060 0.819
Sm 0.273 0.273 0.180
Co 0.667 0.667 0.999
I 0.499 0.499 0.502
```

Relative energy among the computed polymorphs: 0.04 eV per formula unit
ΔE_f (raw): -569 meV per atom
Crystal system: trigonal
Density: 7.2 g/cm³

***

> Which formula does entry 2 have?

Sm2CoI

***

> What is the ΔE_f (raw) in the second record?

-569 meV per atom

***

> Number 1 is which compound?

Na2NdErTe4